# 1
First-principles (PBE) data for an optimized crystal structure of TaCrAg4, as listed in Alexandria via LeMat-Bulk.

Output
- ΔE_f: 0.639 eV per atom
- Volume: 18.20 Å³ per atom
- M_tot: 0.593 μB per atom

Cell lengths 5.3655, 5.3655, 5.3655 Å; angles 60.00, 60.00, 60.00 degrees
Last column: magnetic moment on the atom in μB.
Sites, in units of the cell vectors:
1 Ta 0.0000 0.0000 0.0000  -0.46
2 Cr 0.7500 0.7500 0.7500  3.65
3 Ag 0.8750 0.3750 0.3750  0.01
4 Ag 0.3750 0.3750 0.8750  0.01
5 Ag 0.3750 0.8750 0.3750  0.01
6 Ag 0.3750 0.3750 0.3750  0.01

# 2
First-principles (PBE) data for an optimized crystal structure of Sm3TiAg3Se8, as listed in Alexandria via LeMat-Bulk.

Output
- Volume: 26.13 Å³ per atom
- Energy: -5.0063 eV per atom
- M_tot: 0.000 μB per atom

Cell lengths 8.2791, 8.2791, 8.1652 Å; angles 120.63, 90.00, 120.00 degrees
Sites, in units of the cell vectors:
1 Sm 0.5000 0.0000 0.5000
2 Sm 0.5000 0.5000 0.5000
3 Sm 0.0000 0.5000 0.5000
4 Ti 0.0000 0.0000 0.5000
5 Ag 0.0000 0.0000 0.0000
6 Ag 0.0000 0.5000 0.0000
7 Ag 0.5000 0.5000 0.0000
8 Se 0.2481 0.4963 0.2456
9 Se 0.7519 0.5037 0.7544
10 Se 0.7727 0.5455 0.2706
11 Se 0.2273 0.4545 0.7294
12 Se 0.7728 0.9966 0.2705
13 Se 0.2272 0.0034 0.7295
14 Se 0.2239 0.9966 0.2705
15 Se 0.7761 0.0034 0.7295

# 3
First-principles (PBE) data for an optimized crystal structure of Pr3Pd8Au, as listed in Alexandria via LeMat-Bulk.

Output
- ΔE_f: -0.705 eV per atom
- Volume: 19.50 Å³ per atom
- M_tot: 0.000 μB per atom

Cell lengths 5.4767, 5.4767, 9.5484 Å; angles 73.33, 73.33, 60.00 degrees
Sites, in units of the cell vectors:
1 Pr 0.3782 0.3782 0.8653
2 Pr 0.9874 0.9874 0.0379
3 Pr 0.5095 0.5095 0.4714
4 Pd 0.9420 0.4371 0.1838
5 Pd 0.4379 0.9377 0.6867
6 Pd 0.4371 0.4371 0.1838
7 Pd 0.9377 0.9377 0.6867
8 Pd 0.1882 0.1882 0.4353
9 Pd 0.6881 0.6881 0.9356
10 Pd 0.4371 0.9420 0.1838
11 Pd 0.9377 0.4379 0.6867
12 Au 0.8690 0.8690 0.3929

# 4
First-principles (PBE) data for an optimized crystal structure of TbPr3Tm3, as listed in Alexandria via LeMat-Bulk.

Output
- ΔE_f: 0.179 eV per atom
- Volume: 34.60 Å³ per atom
- Energy above the most stable polymorph in this dataset: 154.6 meV/atom
- M_tot: 0.000 μB per atom

Cell lengths 6.2105, 6.2105, 14.9397 Å; angles 78.00, 78.00, 60.00 degrees
Sites, in units of the cell vectors:
1 Tb 0.6667 0.6667 0.9999
2 Tb 0.3333 0.3333 0.0001
3 Pr 0.2012 0.8698 0.3894
4 Pr 0.5395 0.2012 0.3894
5 Pr 0.8698 0.5395 0.3894
6 Pr 0.1302 0.4605 0.6106
7 Pr 0.4605 0.7988 0.6106
8 Pr 0.7988 0.1301 0.6106
9 Tm 0.9360 0.2688 0.1921
10 Tm 0.6030 0.9360 0.1921
11 Tm 0.2688 0.6030 0.1921
12 Tm 0.7312 0.3970 0.8079
13 Tm 0.3970 0.0640 0.8079
14 Tm 0.0640 0.7312 0.8079

# 5
First-principles (PBE) data for an optimized crystal structure of LuMgAlTl, as listed in Alexandria via LeMat-Bulk.

Output
- ΔE_f: -0.115 eV per atom
- Volume: 23.14 Å³ per atom
- M_tot: 0.000 μB per atom

Cell lengths 5.0776, 5.0776, 5.0776 Å; angles 60.00, 60.00, 60.00 degrees
Sites, in units of the cell vectors:
1 Mg 0.7500 0.7500 0.7500
2 Lu 0.2500 0.2500 0.2500
3 Tl 0.5000 0.5000 0.5000
4 Al 0.0000 0.0000 0.0000

# 6
First-principles (PBE) data for an optimized crystal structure of AcCuSn2Au, as listed in Alexandria via LeMat-Bulk.

Output
- ΔE_f: -0.498 eV per atom
- Volume: 24.83 Å³ per atom
- M_tot: 0.000 μB per atom

Cell lengths 4.7307, 4.7307, 6.4776 Å; angles 111.42, 111.42, 90.00 degrees
Sites, in units of the cell vectors:
1 Ac 0.0000 0.0000 0.0000
2 Cu 0.2500 0.7500 0.5000
3 Sn 0.6295 0.6295 0.2591
4 Sn 0.3705 0.3705 0.7409
5 Au 0.7500 0.2500 0.5000

# 7
First-principles (PBE) data for an optimized crystal structure of MgScAs2, as listed in Alexandria via LeMat-Bulk.

Output
- ΔE_f: -0.737 eV per atom
- Volume: 19.76 Å³ per atom
- M_tot: 0.000 μB per atom

Cell lengths 5.5751, 5.5751, 4.0776 Å; angles 79.65, 79.65, 39.44 degrees
Sites, in units of the cell vectors:
1 As 0.9873 0.9873 0.0995
2 As 0.7498 0.7498 0.6630
3 Mg 0.5021 0.5021 0.5750
4 Sc 0.2608 0.2608 0.1625

# 8
First-principles (PBE) data for an optimized crystal structure of Sc2SbSe, as listed in Alexandria via LeMat-Bulk.

Output
- Volume: 32.58 Å³ per atom
- Energy above the most stable polymorph in this dataset: 485.3 meV/atom
- M_tot: 0.000 μB per atom

Cell lengths 8.1096, 8.1096, 8.1096 Å; angles 31.64, 31.64, 31.64 degrees
Sites, in units of the cell vectors:
1 Sc 0.8935 0.8935 0.8935
2 Sc 0.1065 0.1065 0.1065
3 Sb 0.5000 0.5000 0.5000
4 Se 0.0000 0.0000 0.0000

# 9
First-principles (PBE) data for an optimized crystal structure of Ta2ZnCuH, as listed in Alexandria via LeMat-Bulk.

Output
- Volume: 12.93 Å³ per atom
- Energy: -6.4577 eV per atom
- M_tot: 0.000 μB per atom

Cell lengths 4.0543, 4.0543, 3.9343 Å; angles 90.00, 90.00, 90.00 degrees
Sites, in units of the cell vectors:
1 H 0.0000 0.0000 0.0000
2 Zn 0.5000 0.5000 0.5000
3 Cu 0.0000 0.0000 0.5000
4 Ta 0.0000 0.5000 0.0000
5 Ta 0.5000 0.0000 0.0000

# 10
First-principles (PBE) data for an optimized crystal structure of Co2ReGeH, as listed in Alexandria via LeMat-Bulk.

Output
- Volume: 10.43 Å³ per atom
- Energy: -6.7884 eV per atom
- M_tot: 0.022 μB per atom

Cell lengths 3.6670, 3.6670, 3.8800 Å; angles 90.00, 90.00, 90.00 degrees
Sites, in units of the cell vectors:
1 Re 0.0000 0.0000 0.5000
2 Ge 0.5000 0.5000 0.5000
3 Co 0.0000 0.5000 0.0000
4 Co 0.5000 0.0000 0.0000
5 H 0.0000 0.0000 0.0000

# 11
First-principles (PBE) data for an optimized crystal structure of SmNpInO6, as listed in Alexandria via LeMat-Bulk.

Output
- Volume: 15.01 Å³ per atom
- Energy: -8.1805 eV per atom
- M_tot: 0.111 μB per atom

Cell lengths 5.5549, 5.5549, 10.1128 Å; angles 90.00, 90.00, 120.00 degrees
Last column: magnetic moment on the atom in μB.
Sites, in units of the cell vectors:
1 Sm 0.0000 0.0000 0.0000  -0.01
2 Sm 0.0000 0.0000 0.5000  -0.01
3 Np 0.6667 0.3333 0.2500  1.23
4 Np 0.3333 0.6667 0.7500  1.23
5 In 0.3333 0.6667 0.2500  0.00
6 In 0.6667 0.3333 0.7500  0.00
7 O 0.6598 0.6432 0.1362  -0.04
8 O 0.9834 0.3402 0.1362  -0.04
9 O 0.3402 0.9834 0.6362  -0.04
10 O 0.0166 0.6598 0.8638  -0.04
11 O 0.3568 0.3402 0.3638  -0.04
12 O 0.9834 0.6432 0.3638  -0.04
13 O 0.6432 0.9834 0.8638  -0.04
14 O 0.6598 0.0166 0.3638  -0.04
15 O 0.0166 0.3568 0.6362  -0.04
16 O 0.3568 0.0166 0.1362  -0.04
17 O 0.6432 0.6598 0.6362  -0.04
18 O 0.3402 0.3568 0.8638  -0.04

# 12
First-principles (PBE) data for an optimized crystal structure of Rb2NpUSe4, as listed in Alexandria via LeMat-Bulk.

Output
- Volume: 31.68 Å³ per atom
- Energy: -6.2391 eV per atom
- M_tot: 0.875 μB per atom

Cell lengths 4.2669, 7.3887, 8.4059 Å; angles 107.01, 90.00, 90.00 degrees
Last column: magnetic moment on the atom in μB.
Sites, in units of the cell vectors:
1 Rb 0.5000 0.0000 0.5000  0.00
2 Rb 0.0000 0.5000 0.5000  0.00
3 Np 0.5000 0.5000 0.0000  4.04
4 U 0.0000 0.0000 0.0000  2.64
5 Se 0.5000 0.2304 0.1974  -0.06
6 Se 0.5000 0.7696 0.8026  -0.06
7 Se 0.0000 0.2653 0.8028  -0.07
8 Se 0.0000 0.7347 0.1972  -0.07